VASP calculation (PBE-GGA) on an optimized crystal structure of Ac2Al4IrPt3. Values from VASP.

The structure in Quantum ESPRESSO input format:
```
&SYSTEM
  ibrav = 0, nat = 10, ntyp = 4
/
ATOMIC_SPECIES
Ac 227.00 Ac.upf
Al 26.98 Al.upf
Ir 192.22 Ir.upf
Pt 195.08 Pt.upf
ATOMIC_POSITIONS crystal
Ac 0.000 0.500 0.248
Ac 0.500 0.000 0.752
Al 0.000 0.000 0.500
Al 0.000 0.500 0.879
Al 0.500 0.000 0.121
Al 0.500 0.500 0.500
Ir 0.500 0.500 0.000
Pt 0.000 0.000 0.000
Pt 0.000 0.500 0.631
Pt 0.500 0.000 0.369
CELL_PARAMETERS angstrom
4.364 0.000 0.000
0.000 4.364 0.000
0.000 0.000 10.659
```

Calculated values
Its space group is P-4m2 (115). The calculated total energy is -60.51 eV/cell. The formation energy is -99.8 kJ per mole of atoms. The total magnetization comes out at 0.00 μB per formula unit.